Entry 1:
Material: CsPRhS2
Method: DFT, PBE
State: relaxed

Computed properties:
The energy above the most stable polymorph in this dataset is 0.000 eV per atom. Its energy is -4.346 eV per atom. Its volume is 118 Å³ per cell.

Geometry as POSCAR:
```
CsPRhS2
1.0
5.1410 0.0000 0.0000
0.0000 5.1410 0.0000
0.0000 0.0000 4.4573
Cs P Rh S
1 1 1 2
Direct
0.0000 0.0000 0.0000 Cs
0.5000 0.5000 0.0000 P
0.5000 0.5000 0.5000 Rh
0.0000 0.5000 0.5000 S
0.5000 0.0000 0.5000 S
```

=====

Entry 2:
Material: CsNbAs2Br
Method: DFT, PBE
State: relaxed

Computed properties:
The energy above the most stable polymorph in this dataset is 0.000 eV per atom. Its energy is -4.820 eV per atom. Its volume is 147 Å³ per cell.

Geometry as POSCAR:
```
CsNbAs2Br
1.0
5.0450 0.0000 0.0000
0.0000 5.0450 0.0000
0.0000 0.0000 5.7907
Cs Nb As Br
1 1 2 1
Direct
0.0000 0.0000 0.0000 Cs
0.5000 0.5000 0.5000 Nb
0.0000 0.5000 0.5000 As
0.5000 0.0000 0.5000 As
0.5000 0.5000 0.0000 Br
```

=====

Entry 3:
Material: ScPtOF2
Method: DFT, PBE
State: relaxed

Computed properties:
The energy above the most stable polymorph in this dataset is 0.947 eV per atom. Its energy is -5.121 eV per atom. Its volume is 76 Å³ per cell.

Geometry as POSCAR:
```
ScPtOF2
1.0
4.3391 0.0000 0.0000
0.0000 4.3391 0.0000
0.0000 0.0000 4.0326
Sc Pt O F
1 1 1 2
Direct
0.0000 0.0000 0.0000 Sc
0.5000 0.5000 0.5000 Pt
0.5000 0.5000 0.0000 O
0.0000 0.5000 0.5000 F
0.5000 0.0000 0.5000 F
```